(1)
The following is a DFT calculation (PBE-GGA) of a geometry-optimized Cs2RbIn3Hg12 structure.

Cell: 10.319 10.319 10.319 Å, 61.32 61.32 61.32°
Positions (direct):
Cs  0.088  0.088  0.088
Cs  0.912  0.912  0.912
Rb  0.500  0.500  0.500
In  0.000  0.500  0.500
In  0.500  0.000  0.500
In  0.500  0.500  0.000
Hg  0.016  0.322  0.322
Hg  0.174  0.174  0.640
Hg  0.174  0.640  0.174
Hg  0.322  0.016  0.322
Hg  0.322  0.322  0.016
Hg  0.360  0.826  0.826
Hg  0.640  0.174  0.174
Hg  0.678  0.678  0.984
Hg  0.678  0.984  0.678
Hg  0.826  0.360  0.826
Hg  0.826  0.826  0.360
Hg  0.984  0.678  0.678

Summary:
Formation energy from the elements in eV/atom: -0.029

(2)
The following is a DFT calculation (PBE-GGA) of a geometry-optimized Tb4ZrRh5 structure.

Cell: 3.380 3.380 17.451 Å, 90.00 90.00 90.00°
Positions (direct):
Tb  0.000  0.000  0.101
Tb  0.000  0.000  0.303
Tb  0.000  0.000  0.697
Tb  0.000  0.000  0.899
Zr  0.000  0.000  0.500
Rh  0.500  0.500  0.000
Rh  0.500  0.500  0.203
Rh  0.500  0.500  0.412
Rh  0.500  0.500  0.588
Rh  0.500  0.500  0.797

Summary:
Formation energy from the elements in eV/atom: -0.827

(3)
The following is a DFT calculation (PBE-GGA) of a geometry-optimized SrTiBr2 structure.

Cell: 5.340 5.340 5.340 Å, 60.00 60.00 60.00°
Positions (direct):
Sr  0.000  0.000  0.000
Ti  0.500  0.500  0.500
Br  0.250  0.250  0.250
Br  0.750  0.750  0.750

Summary:
E_form (uncorrected) in eV/atom: -0.50

(4)
The following is a DFT calculation (PBE-GGA) of a geometry-optimized Al2HgBiH structure.

Cell: 4.949 4.949 6.088 Å, 90.00 90.00 90.00°
Positions (direct):
Al  0.000  0.500  0.000
Al  0.500  0.000  0.000
Hg  0.000  0.000  0.000
Bi  0.000  0.000  0.500
H  0.500  0.500  0.500

Summary:
Electronic total energy in eV per cell: -9.58

(5)
The following is a DFT calculation (PBE-GGA) of a geometry-optimized CaHoSi3 structure.

Cell: 12.672 12.672 3.952 Å, 90.00 90.00 161.08°
Positions (direct):
Ca  0.203  0.797  0.750
Ca  0.797  0.203  0.250
Ho  0.069  0.931  0.250
Ho  0.931  0.069  0.750
Si  0.329  0.671  0.750
Si  0.383  0.617  0.250
Si  0.476  0.524  0.250
Si  0.524  0.476  0.750
Si  0.617  0.383  0.750
Si  0.671  0.329  0.250

Summary:
E_form (uncorrected) in eV/atom: -0.50

(6)
The following is a DFT calculation (PBE-GGA) of a geometry-optimized ErAgPd3 structure.

Cell: 4.484 5.815 7.301 Å, 90.00 90.00 90.00°
Positions (direct):
Er  0.250  0.250  0.165
Er  0.750  0.750  0.835
Ag  0.250  0.750  0.448
Ag  0.750  0.250  0.552
Pd  0.250  0.021  0.755
Pd  0.250  0.479  0.755
Pd  0.250  0.750  0.078
Pd  0.750  0.250  0.922
Pd  0.750  0.521  0.245
Pd  0.750  0.979  0.245

Summary:
Formation energy from the elements in eV/atom: -0.504

(7)
The following is a DFT calculation (PBE-GGA) of a geometry-optimized Sc3Te structure.

Cell: 5.696 5.696 5.696 Å, 90.00 90.00 90.00°
Positions (direct):
Sc  0.000  0.250  0.500
Sc  0.000  0.750  0.500
Sc  0.250  0.500  0.000
Sc  0.500  0.000  0.250
Sc  0.500  0.000  0.750
Sc  0.750  0.500  0.000
Te  0.000  0.000  0.000
Te  0.500  0.500  0.500

Summary:
E_form (uncorrected) in eV/atom: -0.42

(8)
The following is a DFT calculation (PBE-GGA) of a geometry-optimized Tb4Y2Sc5 structure.

Cell: 11.430 11.430 8.487 Å, 92.74 92.74 16.92°
Positions (direct):
Tb  0.047  0.047  0.336
Tb  0.413  0.413  0.304
Tb  0.587  0.587  0.696
Tb  0.953  0.953  0.664
Y  0.270  0.270  0.179
Y  0.730  0.730  0.821
Sc  0.128  0.128  0.030
Sc  0.188  0.188  0.481
Sc  0.500  0.500  0.000
Sc  0.812  0.812  0.519
Sc  0.872  0.872  0.970

Summary:
Formation energy from the elements in eV/atom: 0.147

(9)
The following is a DFT calculation (PBE-GGA) of a geometry-optimized GaGe2As structure.

Cell: 7.087 7.087 7.087 Å, 131.79 131.79 70.56°
Positions (direct):
Ga  0.000  0.000  0.000
Ga  0.750  0.250  0.500
Ge  0.119  0.625  0.994
Ge  0.375  0.369  0.494
Ge  0.631  0.125  0.006
Ge  0.875  0.881  0.506
As  0.250  0.750  0.500
As  0.500  0.500  0.000

Summary:
Formation energy from the elements in eV/atom: -0.036

(10)
The following is a DFT calculation (PBE-GGA) of a geometry-optimized Tm3Cu5 structure.

Cell: 10.687 9.267 5.924 Å, 90.00 90.00 90.00°
Positions (direct):
Tm  0.071  0.250  0.114
Tm  0.151  0.512  0.629
Tm  0.151  0.988  0.629
Tm  0.349  0.012  0.129
Tm  0.349  0.488  0.129
Tm  0.429  0.750  0.614
Tm  0.571  0.250  0.386
Tm  0.651  0.512  0.871
Tm  0.651  0.988  0.871
Tm  0.849  0.012  0.371
Tm  0.849  0.488  0.371
Tm  0.929  0.750  0.886
Cu  0.015  0.250  0.597
Cu  0.084  0.559  0.132
Cu  0.084  0.941  0.132
Cu  0.216  0.750  0.330
Cu  0.223  0.750  0.922
Cu  0.277  0.250  0.422
Cu  0.284  0.250  0.830
Cu  0.416  0.059  0.632
Cu  0.416  0.441  0.632
Cu  0.485  0.750  0.097
Cu  0.515  0.250  0.903
Cu  0.584  0.559  0.368
Cu  0.584  0.941  0.368
Cu  0.716  0.750  0.170
Cu  0.723  0.750  0.578
Cu  0.777  0.250  0.078
Cu  0.784  0.250  0.670
Cu  0.916  0.059  0.868
Cu  0.916  0.441  0.868
Cu  0.985  0.750  0.403

Summary:
Formation energy from the elements in eV/atom: -0.238

(11)
The following is a DFT calculation (PBE-GGA) of a geometry-optimized FeSn3N structure.

Cell: 4.924 4.924 4.924 Å, 90.00 90.00 90.00°
Positions (direct):
Fe  0.000  0.000  0.000
Sn  0.000  0.000  0.500
Sn  0.000  0.500  0.000
Sn  0.500  0.000  0.000
N  0.500  0.500  0.500

Summary:
E_form (uncorrected) in eV/atom: 0.92

(12)
The following is a DFT calculation (PBE-GGA) of a geometry-optimized BaZrOs2N structure.

Cell: 4.153 4.153 5.137 Å, 90.00 90.00 90.00°
Positions (direct):
Ba  0.000  0.000  0.000
Zr  0.500  0.500  0.000
Os  0.000  0.500  0.500
Os  0.500  0.000  0.500
N  0.000  0.000  0.500

Summary:
E_form (uncorrected) in eV/atom: 0.79

(13)
The following is a DFT calculation (PBE-GGA) of a geometry-optimized CeZrZn2 structure.

Cell: 3.117 3.117 8.331 Å, 90.00 90.00 90.00°
Positions (direct):
Ce  0.000  0.000  0.000
Zr  0.000  0.000  0.500
Zn  0.500  0.500  0.270
Zn  0.500  0.500  0.730

Summary:
Formation energy from the elements in eV/atom: -0.222

(14)
The following is a DFT calculation (PBE-GGA) of a geometry-optimized Y4ZnAu3 structure.

Cell: 3.739 4.665 11.058 Å, 90.00 90.00 90.00°
Positions (direct):
Y  0.000  0.000  0.000
Y  0.000  0.500  0.279
Y  0.500  0.000  0.498
Y  0.500  0.500  0.780
Zn  0.000  0.000  0.721
Au  0.000  0.500  0.560
Au  0.500  0.000  0.227
Au  0.500  0.500  0.053

Summary:
Formation energy from the elements in eV/atom: -0.736

(15)
The following is a DFT calculation (PBE-GGA) of a geometry-optimized Th2BiRh2 structure.

Cell: 7.936 7.936 3.770 Å, 90.00 90.00 90.00°
Positions (direct):
Th  0.171  0.329  0.000
Th  0.329  0.829  0.000
Th  0.671  0.171  0.000
Th  0.829  0.671  0.000
Bi  0.000  0.000  0.500
Bi  0.500  0.500  0.500
Rh  0.129  0.629  0.500
Rh  0.371  0.129  0.500
Rh  0.629  0.871  0.500
Rh  0.871  0.371  0.500

Summary:
Formation energy from the elements in eV/atom: -0.878

(16)
The following is a DFT calculation (PBE-GGA) of a geometry-optimized CaP2Pb structure.

Cell: 5.237 5.237 5.237 Å, 126.32 126.10 79.55°
Positions (direct):
Ca  0.000  0.000  0.000
P  0.250  0.750  0.500
P  0.750  0.250  0.500
Pb  0.500  0.500  0.000

Summary:
Formation energy from the elements in eV/atom: -0.165

(17)
The following is a DFT calculation (PBE-GGA) of a geometry-optimized U2FeC2 structure.

Cell: 5.171 8.271 3.079 Å, 90.00 90.00 90.00°
Positions (direct):
U  0.045  0.170  0.000
U  0.455  0.670  0.000
U  0.545  0.330  0.000
U  0.955  0.830  0.000
Fe  0.000  0.500  0.000
Fe  0.500  0.000  0.000
C  0.224  0.416  0.500
C  0.276  0.916  0.500
C  0.724  0.084  0.500
C  0.776  0.584  0.500

Summary:
Formation energy from the elements in eV/atom: 0.280

(18)
The following is a DFT calculation (PBE-GGA) of a geometry-optimized Ga2BrCl structure.

Cell: 5.286 5.286 5.286 Å, 60.00 60.00 60.00°
Positions (direct):
Ga  0.250  0.250  0.250
Ga  0.750  0.750  0.750
Br  0.000  0.000  0.000
Cl  0.500  0.500  0.500

Summary:
E_form (uncorrected) in eV/atom: -0.53

(19)
The following is a DFT calculation (PBE-GGA) of a geometry-optimized SbAsPtBr2 structure.

Cell: 5.094 5.094 5.000 Å, 90.00 90.00 90.00°
Positions (direct):
Sb  0.000  0.000  0.000
As  0.500  0.500  0.000
Pt  0.500  0.500  0.500
Br  0.000  0.500  0.500
Br  0.500  0.000  0.500

Summary:
E_form (uncorrected) in eV/atom: 0.34

(20)
The following is a DFT calculation (PBE-GGA) of a geometry-optimized TaIr4 structure.

Cell: 4.799 4.799 4.799 Å, 99.77 99.77 131.36°
Positions (direct):
Ta  0.000  0.000  0.000
Ir  0.196  0.398  0.594
Ir  0.398  0.804  0.202
Ir  0.602  0.196  0.798
Ir  0.804  0.602  0.406

Summary:
Formation energy from the elements in eV/atom: -0.387

(21)
The following is a DFT calculation (PBE-GGA) of a geometry-optimized BeHg2O structure.

Cell: 5.816 5.816 5.816 Å, 117.59 117.59 94.23°
Positions (direct):
Be  0.000  0.000  0.000
Be  0.750  0.250  0.500
Hg  0.131  0.625  0.006
Hg  0.375  0.381  0.506
Hg  0.619  0.125  0.994
Hg  0.875  0.869  0.494
O  0.250  0.750  0.500
O  0.500  0.500  0.000

Summary:
E_form (uncorrected) in eV/atom: 0.14

(22)
The following is a DFT calculation (PBE-GGA) of a geometry-optimized Rb2CaUSe4 structure.

Cell: 7.462 4.329 8.325 Å, 90.00 107.24 90.00°
Positions (direct):
Rb  0.000  0.000  0.000
Rb  0.500  0.500  0.000
Ca  0.000  0.500  0.500
U  0.500  0.000  0.500
Se  0.248  0.000  0.695
Se  0.280  0.500  0.306
Se  0.720  0.500  0.694
Se  0.752  0.000  0.305

Summary:
E_form (uncorrected) in eV/atom: -1.45

(23)
The following is a DFT calculation (PBE-GGA) of a geometry-optimized InHPd3 structure.

Cell: 5.003 7.786 7.817 Å, 90.00 90.00 90.00°
Positions (direct):
In  0.000  0.000  0.000
In  0.000  0.500  0.000
In  0.500  0.000  0.500
In  0.500  0.500  0.500
H  0.005  0.250  0.492
H  0.495  0.750  0.992
H  0.505  0.250  0.008
H  0.995  0.750  0.508
Pd  0.027  0.072  0.340
Pd  0.027  0.428  0.340
Pd  0.217  0.250  0.673
Pd  0.283  0.750  0.173
Pd  0.473  0.572  0.840
Pd  0.473  0.928  0.840
Pd  0.527  0.072  0.160
Pd  0.527  0.428  0.160
Pd  0.717  0.250  0.827
Pd  0.783  0.750  0.327
Pd  0.973  0.572  0.660
Pd  0.973  0.928  0.660

Summary:
Electronic total energy in eV per cell: -90.74